1.
First-principles (PBE-GGA) data for a relaxed Ho3Tm3MgSe8 crystal, as listed in Alexandria.

Output
As for the magnetic moment: 0.000 μB/cell.

Unit cell a=8.0486 b=8.0486 c=8.0486 alpha=59.86 beta=59.86 gamma=59.86
With the nearest neighbours (Å) after each atom.
Sites, in units of the cell vectors:
1 Ho 0.0000 0.5000 0.5000  6 Se 2.86
2 Ho 0.5000 0.0000 0.5000  6 Se 2.86
3 Ho 0.5000 0.5000 0.0000  6 Se 2.86
4 Tm 0.0000 0.0000 0.5000  6 Se 2.83
5 Tm 0.0000 0.5000 0.0000  6 Se 2.83
6 Tm 0.5000 0.0000 0.0000  6 Se 2.83
7 Mg 0.5000 0.5000 0.5000  6 Se 2.79
8 Se 0.2488 0.2488 0.2488  3 Tm 2.83, 3 Ho 2.86
9 Se 0.2526 0.7451 0.7451  1 Mg 2.79, 2 Tm 2.83, 2 Ho 2.86
10 Se 0.2549 0.2549 0.7474  1 Mg 2.79, 2 Tm 2.83, 2 Ho 2.86
11 Se 0.2549 0.7474 0.2549  1 Mg 2.79, 2 Tm 2.83, 2 Ho 2.86
12 Se 0.7451 0.2526 0.7451  1 Mg 2.79, 2 Tm 2.83, 2 Ho 2.86
13 Se 0.7451 0.7451 0.2526  1 Mg 2.79, 2 Tm 2.83, 2 Ho 2.86
14 Se 0.7474 0.2549 0.2549  1 Mg 2.79, 2 Tm 2.83, 2 Ho 2.86
15 Se 0.7512 0.7512 0.7512  3 Tm 2.83, 3 Ho 2.86


2.
First-principles (PBE-GGA) data for a relaxed Y3Ho3MgSe8 crystal, as listed in Alexandria.

Output
As for the magnetic moment: 0.000 μB/cell.

Unit cell a=8.1134 b=8.1134 c=8.1134 alpha=59.87 beta=59.87 gamma=59.87
With the nearest neighbours (Å) after each atom.
Sites, in units of the cell vectors:
1 Y 0.0000 0.5000 0.5000  6 Se 2.88
2 Y 0.5000 0.0000 0.5000  6 Se 2.88
3 Y 0.5000 0.5000 0.0000  6 Se 2.88
4 Ho 0.0000 0.0000 0.5000  6 Se 2.86
5 Ho 0.0000 0.5000 0.0000  6 Se 2.86
6 Ho 0.5000 0.0000 0.0000  6 Se 2.86
7 Mg 0.5000 0.5000 0.5000  6 Se 2.79
8 Se 0.2491 0.2491 0.2491  3 Ho 2.86, 3 Y 2.88
9 Se 0.2544 0.7438 0.7438  1 Mg 2.79, 2 Ho 2.86, 2 Y 2.88
10 Se 0.2562 0.2562 0.7456  1 Mg 2.79, 2 Ho 2.86, 2 Y 2.88
11 Se 0.2562 0.7456 0.2562  1 Mg 2.79, 2 Ho 2.86, 2 Y 2.88
12 Se 0.7438 0.2544 0.7438  1 Mg 2.79, 2 Ho 2.86, 2 Y 2.88
13 Se 0.7438 0.7438 0.2544  1 Mg 2.79, 2 Ho 2.86, 2 Y 2.88
14 Se 0.7456 0.2562 0.2562  1 Mg 2.79, 2 Ho 2.86, 2 Y 2.88
15 Se 0.7509 0.7509 0.7509  3 Ho 2.86, 3 Y 2.88


3.
First-principles (PBE-GGA) data for a relaxed Ho2MgSi crystal, as listed in Alexandria.

Output
As for the magnetic moment: 0.000 μB/cell.

Unit cell a=3.9433 b=3.9433 c=29.7922 alpha=90.00 beta=90.00 gamma=120.00
With the nearest neighbours (Å) after each atom.
Sites, in units of the cell vectors:
1 Ho 0.0000 0.0000 0.1139  3 Si 2.77
2 Ho 0.0000 0.0000 0.8861  3 Si 2.77
3 Ho 0.3333 0.6667 0.5528  3 Si 2.77
4 Ho 0.3333 0.6667 0.7806  3 Si 2.77
5 Ho 0.6667 0.3333 0.2194  3 Si 2.77
6 Ho 0.6667 0.3333 0.4472  3 Si 2.77
7 Mg 0.0000 0.0000 0.0000  2 Ho 3.39
8 Mg 0.3333 0.6667 0.6667  2 Ho 3.39
9 Mg 0.6667 0.3333 0.3333  2 Ho 3.39
10 Si 0.0000 0.0000 0.5000  6 Ho 2.77
11 Si 0.3333 0.6667 0.1667  6 Ho 2.77
12 Si 0.6667 0.3333 0.8333  6 Ho 2.77


4.
First-principles (PBE-GGA) data for a relaxed HoMgSi crystal, as listed in Alexandria.

Output
As for the magnetic moment: 0.000 μB/cell.

Unit cell a=6.5581 b=6.5581 c=6.5581 alpha=90.00 beta=90.00 gamma=90.00
With the nearest neighbours (Å) after each atom.
Sites, in units of the cell vectors:
1 Ho 0.0000 0.0000 0.0000  4 Si 2.84
2 Ho 0.0000 0.5000 0.5000  4 Si 2.84
3 Ho 0.5000 0.0000 0.5000  4 Si 2.84
4 Ho 0.5000 0.5000 0.0000  4 Si 2.84
5 Mg 0.0000 0.0000 0.5000  4 Si 2.84
6 Mg 0.0000 0.5000 0.0000  4 Si 2.84
7 Mg 0.5000 0.0000 0.0000  4 Si 2.84
8 Mg 0.5000 0.5000 0.5000  4 Si 2.84
9 Si 0.2500 0.2500 0.2500  4 Ho 2.84, 4 Mg 2.84
10 Si 0.2500 0.7500 0.7500  4 Ho 2.84, 4 Mg 2.84
11 Si 0.7500 0.2500 0.7500  4 Ho 2.84, 4 Mg 2.84
12 Si 0.7500 0.7500 0.2500  4 Ho 2.84, 4 Mg 2.84


5.
First-principles (PBE-GGA) data for a relaxed HoMgSi crystal, as listed in Alexandria.

Output
As for the magnetic moment: 0.000 μB/cell.

Unit cell a=11.0692 b=4.4592 c=6.3820 alpha=90.00 beta=122.65 gamma=90.00
With the nearest neighbours (Å) after each atom.
Sites, in units of the cell vectors:
1 Ho 0.0000 0.0000 0.0000  4 Si 2.87-2.99, 2 Mg 3.18
2 Ho 0.1575 0.5000 0.5024  3 Si 2.95-2.98, 3 Mg 3.21-3.27
3 Ho 0.5000 0.5000 0.0000  4 Si 2.87-2.99, 2 Mg 3.18
4 Ho 0.6575 0.0000 0.5024  3 Si 2.95-2.98, 3 Mg 3.21-3.27
5 Mg 0.3007 0.0000 0.0186  3 Si 2.70-2.92
6 Mg 0.4202 0.5000 0.4235  3 Si 2.82-2.88, 2 Mg 3.12
7 Mg 0.8007 0.5000 0.0186  3 Si 2.70-2.92
8 Mg 0.9202 0.0000 0.4235  3 Si 2.82-2.88, 2 Mg 3.12
9 Si 0.1473 0.5000 0.9554  1 Si 2.66, 3 Mg 2.70-2.88, 3 Ho 2.87-2.95
10 Si 0.3646 0.0000 0.6306  1 Si 2.66, 3 Mg 2.82-2.92, 2 Ho 2.98
11 Si 0.6473 0.0000 0.9554  1 Si 2.66, 3 Mg 2.70-2.88, 3 Ho 2.87-2.95
12 Si 0.8646 0.5000 0.6306  1 Si 2.66, 3 Mg 2.82-2.92, 2 Ho 2.98


6.
First-principles (PBE-GGA) data for a relaxed Ho2MgSi crystal, as listed in Alexandria.

Output
As for the magnetic moment: 0.000 μB/cell.

Unit cell a=4.7485 b=4.7485 c=4.0755 alpha=90.00 beta=90.00 gamma=90.00
With the nearest neighbours (Å) after each atom.
Sites, in units of the cell vectors:
1 Ho 0.0000 0.5000 0.0000  4 Mg 3.13, 4 Si 3.13, 4 Ho 3.36
2 Ho 0.5000 0.0000 0.0000  4 Mg 3.13, 4 Si 3.13, 4 Ho 3.36
3 Mg 0.0000 0.0000 0.5000  8 Ho 3.13, 4 Si 3.36
4 Si 0.5000 0.5000 0.5000  8 Ho 3.13, 4 Mg 3.36


7.
First-principles (PBE-GGA) data for a relaxed HoMg2Si crystal, as listed in Alexandria.

Output
As for the magnetic moment: 0.000 μB/cell.

Unit cell a=4.2540 b=4.2540 c=4.6538 alpha=90.00 beta=90.00 gamma=90.00
With the nearest neighbours (Å) after each atom.
Sites, in units of the cell vectors:
1 Ho 0.0000 0.0000 0.0000  4 Si 3.01, 8 Mg 3.15
2 Mg 0.0000 0.5000 0.5000  4 Mg 3.01, 4 Ho 3.15, 4 Si 3.15
3 Mg 0.5000 0.0000 0.5000  4 Mg 3.01, 4 Ho 3.15, 4 Si 3.15
4 Si 0.5000 0.5000 0.0000  4 Ho 3.01, 8 Mg 3.15


8.
First-principles (PBE-GGA) data for a relaxed SmHoMgSi crystal, as listed in Alexandria.

Output
As for the magnetic moment: 0.000 μB/cell.

Unit cell a=7.2472 b=7.2472 c=7.2472 alpha=90.00 beta=90.00 gamma=90.00
With the nearest neighbours (Å) after each atom.
Sites, in units of the cell vectors:
1 Sm 0.0000 0.0000 0.0000  4 Mg 3.14, 4 Si 3.14
2 Sm 0.0000 0.5000 0.5000  4 Mg 3.14, 4 Si 3.14
3 Sm 0.5000 0.0000 0.5000  4 Mg 3.14, 4 Si 3.14
4 Sm 0.5000 0.5000 0.0000  4 Mg 3.14, 4 Si 3.14
5 Ho 0.0000 0.0000 0.5000  4 Mg 3.14, 4 Si 3.14
6 Ho 0.0000 0.5000 0.0000  4 Mg 3.14, 4 Si 3.14
7 Ho 0.5000 0.0000 0.0000  4 Mg 3.14, 4 Si 3.14
8 Ho 0.5000 0.5000 0.5000  4 Mg 3.14, 4 Si 3.14
9 Mg 0.2500 0.2500 0.2500  4 Ho 3.14, 4 Sm 3.14
10 Mg 0.2500 0.7500 0.7500  4 Ho 3.14, 4 Sm 3.14
11 Mg 0.7500 0.2500 0.7500  4 Ho 3.14, 4 Sm 3.14
12 Mg 0.7500 0.7500 0.2500  4 Ho 3.14, 4 Sm 3.14
13 Si 0.2500 0.2500 0.7500  4 Sm 3.14, 4 Ho 3.14
14 Si 0.2500 0.7500 0.2500  4 Sm 3.14, 4 Ho 3.14
15 Si 0.7500 0.2500 0.2500  4 Sm 3.14, 4 Ho 3.14
16 Si 0.7500 0.7500 0.7500  4 Sm 3.14, 4 Ho 3.14


9.
First-principles (PBE-GGA) data for a relaxed HoMgZnSi crystal, as listed in Alexandria.

Output
As for the magnetic moment: 0.000 μB/cell.

Unit cell a=6.7987 b=6.7987 c=6.7987 alpha=90.00 beta=90.00 gamma=90.00
With the nearest neighbours (Å) after each atom.
Sites, in units of the cell vectors:
1 Ho 0.0000 0.0000 0.0000  4 Zn 2.94, 4 Si 2.94
2 Ho 0.0000 0.5000 0.5000  4 Si 2.94, 4 Zn 2.94
3 Ho 0.5000 0.0000 0.5000  4 Si 2.94, 4 Zn 2.94
4 Ho 0.5000 0.5000 0.0000  4 Si 2.94, 4 Zn 2.94
5 Mg 0.0000 0.0000 0.5000  4 Si 2.94, 4 Zn 2.94
6 Mg 0.0000 0.5000 0.0000  4 Si 2.94, 4 Zn 2.94
7 Mg 0.5000 0.0000 0.0000  4 Si 2.94, 4 Zn 2.94
8 Mg 0.5000 0.5000 0.5000  4 Si 2.94, 4 Zn 2.94
9 Zn 0.2500 0.2500 0.7500  4 Ho 2.94, 4 Mg 2.94
10 Zn 0.2500 0.7500 0.2500  4 Ho 2.94, 4 Mg 2.94
11 Zn 0.7500 0.2500 0.2500  4 Ho 2.94, 4 Mg 2.94
12 Zn 0.7500 0.7500 0.7500  4 Mg 2.94, 4 Ho 2.94
13 Si 0.2500 0.2500 0.2500  4 Ho 2.94, 4 Mg 2.94
14 Si 0.2500 0.7500 0.7500  4 Ho 2.94, 4 Mg 2.94
15 Si 0.7500 0.2500 0.7500  4 Ho 2.94, 4 Mg 2.94
16 Si 0.7500 0.7500 0.2500  4 Ho 2.94, 4 Mg 2.94


10.
First-principles (PBE-GGA) data for a relaxed Sm3Ho3Mg2 crystal, as listed in Alexandria.

Output
As for the magnetic moment: 0.000 μB/cell.

Unit cell a=6.4441 b=6.4441 c=15.6915 alpha=90.00 beta=90.00 gamma=131.14
With the nearest neighbours (Å) after each atom.
Sites, in units of the cell vectors:
1 Sm 0.0393 0.9607 0.6035  1 Mg 3.21, 2 Sm 3.35-3.38, 2 Ho 3.52
2 Sm 0.0393 0.9607 0.8965  1 Mg 3.21, 2 Sm 3.35-3.38, 2 Ho 3.52
3 Sm 0.2473 0.7527 0.7500  4 Mg 3.14, 1 Ho 3.24, 2 Sm 3.35
4 Sm 0.7527 0.2473 0.2500  4 Mg 3.14, 1 Ho 3.24, 2 Sm 3.35
5 Sm 0.9607 0.0393 0.1035  1 Mg 3.21, 2 Sm 3.35-3.38, 2 Ho 3.52
6 Sm 0.9607 0.0393 0.3965  1 Mg 3.21, 2 Sm 3.35-3.38, 2 Ho 3.52
7 Ho 0.3547 0.6453 0.5342  3 Mg 3.18-3.33
8 Ho 0.3547 0.6453 0.9658  3 Mg 3.18-3.33
9 Ho 0.4764 0.5236 0.2500  5 Sm 3.24-3.52, 2 Mg 3.34
10 Ho 0.5236 0.4764 0.7500  5 Sm 3.24-3.52, 2 Mg 3.34
11 Ho 0.6453 0.3547 0.0342  3 Mg 3.18-3.33
12 Ho 0.6453 0.3547 0.4658  3 Mg 3.18-3.33
13 Mg 0.2284 0.7716 0.1453  3 Sm 3.14-3.21, 4 Ho 3.18-3.34, 1 Mg 3.29
14 Mg 0.2284 0.7716 0.3547  3 Sm 3.14-3.21, 4 Ho 3.18-3.34, 1 Mg 3.29
15 Mg 0.7716 0.2284 0.6453  3 Sm 3.14-3.21, 4 Ho 3.18-3.34, 1 Mg 3.29
16 Mg 0.7716 0.2284 0.8547  3 Sm 3.14-3.21, 4 Ho 3.18-3.34, 1 Mg 3.29


11.
First-principles (PBE-GGA) data for a relaxed Sm7HoMg4 crystal, as listed in Alexandria.

Output
As for the magnetic moment: 0.055 μB/cell.

Unit cell a=8.1849 b=8.1849 c=9.7630 alpha=119.07 beta=119.07 gamma=41.59
With the nearest neighbours (Å) after each atom.
Sites, in units of the cell vectors:
1 Sm 0.0000 0.0000 0.0000  2 Ho 2.91, 2 Mg 3.02
2 Sm 0.2480 0.2480 0.7121  4 Mg 3.11-3.29, 1 Ho 3.39
3 Sm 0.3021 0.3021 0.1226  7 Sm 3.57-3.80, 3 Mg 3.59-3.61, 1 Ho 3.79
4 Sm 0.4186 0.4186 0.5746  5 Mg 3.20-3.50, 2 Sm 3.48-3.50
5 Sm 0.5814 0.5814 0.4254  5 Mg 3.20-3.50, 2 Sm 3.48-3.50
6 Sm 0.6979 0.6979 0.8774  7 Sm 3.57-3.80, 3 Mg 3.59-3.61, 1 Ho 3.79
7 Sm 0.7520 0.7520 0.2879  4 Mg 3.11-3.29, 1 Ho 3.39
8 Ho 0.5000 0.5000 0.0000  2 Sm 2.91
9 Mg 0.0395 0.0395 0.6951  2 Mg 3.09-3.34, 4 Sm 3.11-3.33
10 Mg 0.1747 0.1747 0.3450  5 Sm 3.02-3.29, 1 Mg 3.09
11 Mg 0.8253 0.8253 0.6550  5 Sm 3.02-3.29, 1 Mg 3.09
12 Mg 0.9605 0.9605 0.3049  2 Mg 3.09-3.34, 4 Sm 3.11-3.33


12.
First-principles (PBE-GGA) data for a relaxed Sm12Ho6Mg crystal, as listed in Alexandria.

Output
As for the magnetic moment: 0.001 μB/cell. The value obtained for the excess energy over the best structure of this formula in the dataset is 0 meV/atom.

Unit cell a=8.5713 b=8.5713 c=8.5713 alpha=88.82 beta=88.82 gamma=88.82
With the nearest neighbours (Å) after each atom.
Sites, in units of the cell vectors:
1 Sm 0.0383 0.2826 0.9323  3 Ho 3.33-3.51, 4 Sm 3.34-3.66
2 Sm 0.0677 0.9617 0.7174  3 Ho 3.33-3.51, 4 Sm 3.34-3.66
3 Sm 0.1358 0.3167 0.4843  4 Ho 3.48-3.71, 5 Sm 3.49-3.88, 1 Mg 3.53
4 Sm 0.2826 0.9323 0.0383  3 Ho 3.33-3.51, 4 Sm 3.34-3.66
5 Sm 0.3167 0.4843 0.1358  4 Ho 3.48-3.71, 5 Sm 3.49-3.88, 1 Mg 3.53
6 Sm 0.4843 0.1358 0.3167  4 Ho 3.48-3.71, 5 Sm 3.49-3.88, 1 Mg 3.53
7 Sm 0.5157 0.8642 0.6833  4 Ho 3.48-3.71, 5 Sm 3.49-3.88, 1 Mg 3.53
8 Sm 0.6833 0.5157 0.8642  4 Ho 3.48-3.71, 5 Sm 3.49-3.88, 1 Mg 3.53
9 Sm 0.7174 0.0677 0.9617  3 Ho 3.33-3.51, 4 Sm 3.34-3.66
10 Sm 0.8642 0.6833 0.5157  4 Ho 3.48-3.71, 5 Sm 3.49-3.88, 1 Mg 3.53
11 Sm 0.9323 0.0383 0.2826  3 Ho 3.33-3.51, 4 Sm 3.34-3.66
12 Sm 0.9617 0.7174 0.0677  3 Ho 3.33-3.51, 4 Sm 3.34-3.66
13 Ho 0.2099 0.5990 0.7600  7 Sm 3.33-3.71, 1 Mg 3.41, 2 Ho 3.46
14 Ho 0.2400 0.7901 0.4011  7 Sm 3.33-3.71, 1 Mg 3.41, 2 Ho 3.46
15 Ho 0.4011 0.2400 0.7901  7 Sm 3.33-3.71, 1 Mg 3.41, 2 Ho 3.46
16 Ho 0.5989 0.7600 0.2099  7 Sm 3.33-3.71, 1 Mg 3.41, 2 Ho 3.46
17 Ho 0.7600 0.2099 0.5989  7 Sm 3.33-3.71, 1 Mg 3.41, 2 Ho 3.46
18 Ho 0.7901 0.4011 0.2400  7 Sm 3.33-3.71, 1 Mg 3.41, 2 Ho 3.46
19 Mg 0.5000 0.5000 0.5000  6 Ho 3.41, 6 Sm 3.53


no.,raw total energy (eV/atom)
1,-5.496
2,-5.927
3,-4.004
4,-4.241
5,-4.175
6,-4.358
7,-3.598
8,-4.358
9,-3.464
10,-3.816
11,-3.523
12,-4.383